<i>
{"formula": "MoSBr2", "functional": "GGA-PBE", "state": "relaxed", "total_magnetization_mub_per_cell": 0.213, "vol_a3_per_fu": 97, "lattice_angstrom": [[1.279, 6.090, 10.780], [3.324, 3.947, 11.327], [4.115, 6.436, 9.827]], "species": ["Mo", "Br", "Br", "S"], "fractional_positions": [[0.000, 0.000, 0.000], [0.066, 0.066, 0.066], [0.934, 0.934, 0.934], [0.500, 0.500, 0.500]]}

=====

<ii>
{"formula": "MoSBr2", "functional": "GGA-PBE", "state": "relaxed", "total_magnetization_mub_per_cell": 0.000, "vol_a3_per_fu": 94, "lattice_angstrom": [[-2.846, 10.015, 2.395], [-1.285, 9.299, 5.100], [0.335, 10.369, 2.551]], "species": ["Br", "Br", "S", "Mo"], "fractional_positions": [[0.892, 0.892, 0.892], [0.108, 0.108, 0.108], [0.000, 0.000, 0.000], [0.500, 0.500, 0.500]]}

=====

How do the structures above rank in stability at the extremes? <ii> comes first and <i> comes last.